This record from the Alexandria database describes a geometry-optimized YIrF2 structure. The functional is PBE.

Cell and atoms, written as CIF:
```
data_YIrF2
_space_group_name_H-M_alt 'P 1'
_space_group_IT_number 1
_cell_length_a 4.410
_cell_length_b 4.410
_cell_length_c 4.410
_cell_angle_alpha 60.00
_cell_angle_beta 60.00
_cell_angle_gamma 60.00
loop_
_space_group_symop_operation_xyz
'x,y,z'
loop_
_atom_site_label
_atom_site_fract_x
_atom_site_fract_y
_atom_site_fract_z
_atom_site_occupancy
Ir1 0.500 0.500 0.500 1
F1 0.250 0.250 0.250 1
F2 0.750 0.750 0.750 1
Y1 0.000 0.000 0.000 1
```

Computed properties:
**Symmetry**: Fm-3m
**Polymorph energy (0 for the lowest one)**: 328 meV per atom
**Raw total energy**: -5.940 eV per atom
**D(E_F)**: 1.26 states/eV per atom



This record from the Alexandria database describes a geometry-optimized YIr3F structure. The functional is PBE.

Cell and atoms, written as CIF:
```
data_YIr3F
_space_group_name_H-M_alt 'P 1'
_space_group_IT_number 1
_cell_length_a 4.380
_cell_length_b 4.380
_cell_length_c 4.380
_cell_angle_alpha 90.00
_cell_angle_beta 90.00
_cell_angle_gamma 90.00
loop_
_space_group_symop_operation_xyz
'x,y,z'
loop_
_atom_site_label
_atom_site_fract_x
_atom_site_fract_y
_atom_site_fract_z
_atom_site_occupancy
F1 0.000 0.000 0.000 1
Ir1 0.000 0.000 0.500 1
Ir2 0.000 0.500 0.000 1
Ir3 0.500 0.000 0.000 1
Y1 0.500 0.500 0.500 1
```

Computed properties:
**Symmetry**: Pm-3m
**Polymorph energy (0 for the lowest one)**: 0 meV per atom
**Raw total energy**: -6.559 eV per atom
**D(E_F)**: 1.12 states/eV per atom



This record from the Alexandria database describes a geometry-optimized Y2IrF structure. The functional is PBE.

Cell and atoms, written as CIF:
```
data_Y2IrF
_space_group_name_H-M_alt 'P 1'
_space_group_IT_number 1
_cell_length_a 4.836
_cell_length_b 4.836
_cell_length_c 4.836
_cell_angle_alpha 60.00
_cell_angle_beta 60.00
_cell_angle_gamma 60.00
loop_
_space_group_symop_operation_xyz
'x,y,z'
loop_
_atom_site_label
_atom_site_fract_x
_atom_site_fract_y
_atom_site_fract_z
_atom_site_occupancy
F1 0.000 0.000 0.000 1
Y1 0.750 0.750 0.750 1
Y2 0.250 0.250 0.250 1
Ir1 0.500 0.500 0.500 1
```

Computed properties:
**Symmetry**: Fm-3m
**Polymorph energy (0 for the lowest one)**: 12 meV per atom
**Raw total energy**: -7.236 eV per atom
**D(E_F)**: 0.12 states/eV per atom



This record from the Alexandria database describes a geometry-optimized Y2IrF structure. The functional is PBE.

Cell and atoms, written as CIF:
```
data_Y2IrF
_space_group_name_H-M_alt 'P 1'
_space_group_IT_number 1
_cell_length_a 5.748
_cell_length_b 5.748
_cell_length_c 7.221
_cell_angle_alpha 66.55
_cell_angle_beta 66.55
_cell_angle_gamma 90.00
loop_
_space_group_symop_operation_xyz
'x,y,z'
loop_
_atom_site_label
_atom_site_fract_x
_atom_site_fract_y
_atom_site_fract_z
_atom_site_occupancy
Y1 0.584 0.125 0.250 1
Y2 0.166 0.625 0.250 1
Y3 0.875 0.834 0.750 1
Y4 0.375 0.416 0.750 1
Ir1 0.750 0.250 0.500 1
Ir2 0.000 0.000 0.000 1
F1 0.250 0.750 0.500 1
F2 0.500 0.500 0.000 1
```

Computed properties:
**Symmetry**: I-42d
**Polymorph energy (0 for the lowest one)**: 0 meV per atom
**Raw total energy**: -7.248 eV per atom
**D(E_F)**: 0.85 states/eV per atom